V2HgClO | GGA+U | relaxed

The structure belongs to space group P4/mmm (No. 123); the cell edges are 5.4544, 5.4544 and 5.0812 Å and the angles 90.00°, 90.00° and 90.00°. The asymmetric unit holds V at (0.0000, 0.5000, 0.0000), Hg at (0.0000, 0.0000, 0.0000), Cl at (0.0000, 0.0000, 0.5000) and O at (0.5000, 0.5000, 0.5000).

The value obtained for the calculated density is 3.9 g/cm³. Its total energy is -2.979 eV/atom.